(1)
A geometry-optimized Tb8Ga2Ir structure. Source: Alexandria via LeMat-Bulk, functional PBE.

a = 4.9654 Å, b = 6.5972 Å, c = 9.5956 Å
α = 102.11°, β = 104.99°, γ = 90.00°
Sites, in units of the cell vectors:
Tb 0.4106 0.5511 0.8212
Tb 0.6523 0.9776 0.3045
Tb 0.7898 0.6808 0.5795
Tb 0.9750 0.2173 0.9500
Tb 0.2102 0.3192 0.4205
Tb 0.3477 0.0224 0.6955
Tb 0.5894 0.4489 0.1788
Tb 0.0250 0.7827 0.0500
Ga 0.8125 0.2450 0.6250
Ga 0.1875 0.7550 0.3750
Ir 0.5000 0.0000 0.0000

DFT formation energy in eV per atom: -0.390
Crystal system: monoclinic
Fermi-level density of states in states/eV per cell: 10.31
Spin magnetization in μB/atom: 0.000

(2)
A geometry-optimized GaCo10B3 structure. Source: Alexandria via LeMat-Bulk, functional PBE.

a = 7.3676 Å, b = 7.3676 Å, c = 7.3676 Å
α = 60.00°, β = 60.00°, γ = 60.00°
Last column: magnetic moment on the atom in μB.
Sites, in units of the cell vectors:
Ga 0.2500 0.2500 0.2500  -0.06
Ga 0.7500 0.7500 0.7500  -0.06
Co 0.0000 0.0000 0.3341  1.38
Co 0.0000 0.3341 0.0000  1.38
Co 0.3341 0.0000 0.0000  1.38
Co 0.6659 0.3341 0.0000  1.38
Co 0.3821 0.3821 0.3821  0.66
Co 0.1462 0.6179 0.6179  0.66
Co 0.3821 0.8538 0.3821  0.66
Co 0.6659 0.0000 0.3341  1.38
Co 0.3821 0.3821 0.8538  0.66
Co 0.8538 0.3821 0.3821  0.66
Co 0.6179 0.6179 0.1462  0.66
Co 0.0000 0.0000 0.6659  1.38
Co 0.3341 0.6659 0.0000  1.38
Co 0.0000 0.6659 0.3341  1.38
Co 0.0000 0.3341 0.6659  1.38
Co 0.6659 0.0000 0.0000  1.38
Co 0.6179 0.6179 0.6179  0.66
Co 0.0000 0.6659 0.0000  1.38
Co 0.6179 0.1462 0.6179  0.66
Co 0.3341 0.0000 0.6659  1.38
B 0.7220 0.7220 0.2780  -0.07
B 0.7220 0.2780 0.7220  -0.07
B 0.2780 0.7220 0.7220  -0.07
B 0.2780 0.2780 0.7220  -0.07
B 0.7220 0.2780 0.2780  -0.07
B 0.2780 0.7220 0.2780  -0.07

DFT formation energy in eV per atom: -0.178
Crystal system: cubic
Fermi-level density of states in states/eV per cell: 32.33
Spin magnetization in μB/atom: 0.754

(3)
A geometry-optimized Nd2AlSi4Ni3 structure. Source: Alexandria via LeMat-Bulk, functional PBE.

a = 4.0406 Å, b = 4.0406 Å, c = 9.9611 Å
α = 90.00°, β = 90.00°, γ = 90.00°
Sites, in units of the cell vectors:
Nd 0.5000 0.0000 0.2398
Nd 0.0000 0.5000 0.7602
Al 0.5000 0.5000 0.5000
Si 0.5000 0.5000 0.0000
Si 0.0000 0.0000 0.0000
Si 0.5000 0.0000 0.6470
Si 0.0000 0.5000 0.3530
Ni 0.0000 0.0000 0.5000
Ni 0.5000 0.0000 0.8828
Ni 0.0000 0.5000 0.1172

Crystal system: tetragonal
ΔE_f (raw) in meV/atom: -772
Fermi-level density of states in states/eV per cell: 4.16
Spin magnetization in μB/atom: 0.000

(4)
A geometry-optimized RbIn6Ag6 structure. Source: Alexandria via LeMat-Bulk, functional PBE.

a = 5.8456 Å, b = 7.7063 Å, c = 7.7063 Å
α = 81.21°, β = 67.71°, γ = 67.71°
Sites, in units of the cell vectors:
Rb 0.0000 0.0000 0.0000
In 0.3506 0.6494 0.6494
In 0.6494 0.3506 0.3506
In 0.0000 0.3517 0.6483
In 0.0000 0.6483 0.3517
In 0.3014 0.1986 0.1986
In 0.6986 0.8014 0.8014
Ag 0.0000 0.5000 0.0000
Ag 0.5000 0.5000 0.0000
Ag 0.0000 0.0000 0.5000
Ag 0.5000 0.0000 0.5000
Ag 0.5000 0.7675 0.2325
Ag 0.5000 0.2325 0.7675

DFT formation energy in eV per atom: -0.054
Crystal system: orthorhombic
Fermi-level density of states in states/eV per cell: 3.61
Spin magnetization in μB/atom: 0.000

(5)
A geometry-optimized Sm3Zn5H12 structure. Source: Alexandria via LeMat-Bulk, functional PBE.

a = 10.7579 Å, b = 10.7579 Å, c = 10.7579 Å
α = 109.47°, β = 109.47°, γ = 109.47°
Sites, in units of the cell vectors:
Sm 0.7500 0.3750 0.1250
Sm 0.8750 0.7500 0.1250
Sm 0.3750 0.7500 0.6250
Sm 0.2500 0.1250 0.3750
Sm 0.8750 0.1250 0.2500
Sm 0.3750 0.6250 0.2500
Sm 0.6250 0.3750 0.7500
Sm 0.1250 0.8750 0.7500
Sm 0.7500 0.8750 0.6250
Sm 0.6250 0.2500 0.3750
Sm 0.1250 0.2500 0.8750
Sm 0.2500 0.6250 0.8750
Zn 0.1250 0.3750 0.2500
Zn 0.0000 0.5000 0.0000
Zn 0.0000 0.0000 0.0000
Zn 0.3750 0.2500 0.1250
Zn 0.5000 0.0000 0.5000
Zn 0.5000 0.5000 0.0000
Zn 0.1250 0.7500 0.3750
Zn 0.7500 0.1250 0.8750
Zn 0.7500 0.6250 0.3750
Zn 0.3750 0.1250 0.7500
Zn 0.6250 0.8750 0.2500
Zn 0.5000 0.5000 0.5000
Zn 0.5000 0.0000 0.0000
Zn 0.0000 0.0000 0.5000
Zn 0.2500 0.3750 0.6250
Zn 0.2500 0.8750 0.1250
Zn 0.0000 0.5000 0.5000
Zn 0.8750 0.2500 0.6250
Zn 0.6250 0.7500 0.8750
Zn 0.8750 0.6250 0.7500
H 0.7504 0.1439 0.0375
H 0.2871 0.5375 0.3936
H 0.9625 0.3561 0.2496
H 0.5375 0.2504 0.1439
H 0.6065 0.7504 0.7129
H 0.9625 0.6064 0.2129
H 0.2871 0.7496 0.3935
H 0.1064 0.8935 0.1439
H 0.6064 0.9625 0.7129
H 0.7504 0.6065 0.2129
H 0.7496 0.4625 0.3561
H 0.7871 0.8936 0.0375
H 0.1439 0.7504 0.5375
H 0.3561 0.3936 0.1065
H 0.1065 0.8936 0.3561
H 0.3935 0.1439 0.6064
H 0.1065 0.2129 0.2504
H 0.4625 0.7129 0.1064
H 0.7871 0.8935 0.2496
H 0.1439 0.3935 0.1064
H 0.3561 0.9625 0.7496
H 0.6064 0.6439 0.3935
H 0.8936 0.7871 0.5375
H 0.7496 0.2871 0.8935
H 0.3936 0.3561 0.6065
H 0.1064 0.2129 0.4625
H 0.2504 0.7129 0.1065
H 0.2129 0.1065 0.7504
H 0.6439 0.0375 0.2504
H 0.8561 0.6065 0.8936
H 0.5375 0.2871 0.8936
H 0.6065 0.8561 0.3936
H 0.8935 0.7871 0.7496
H 0.8935 0.1064 0.6439
H 0.8561 0.2496 0.4625
H 0.2129 0.1064 0.9625
H 0.6439 0.6064 0.8935
H 0.3936 0.0375 0.2871
H 0.2496 0.3935 0.7871
H 0.2504 0.5375 0.6439
H 0.8936 0.1065 0.8561
H 0.7129 0.2504 0.6065
H 0.4625 0.7496 0.8561
H 0.0375 0.3936 0.7871
H 0.3935 0.2496 0.2871
H 0.0375 0.6439 0.7504
H 0.7129 0.4625 0.6064
H 0.2496 0.8561 0.9625

Crystal system: cubic
Fermi-level density of states in states/eV per cell: 16.33
Energy in eV/cell: -250.8
Spin magnetization in μB/atom: 0.000

(6)
A geometry-optimized GaAgHPd2 structure. Source: Alexandria via LeMat-Bulk, functional PBE.

a = 3.9982 Å, b = 3.9982 Å, c = 4.1319 Å
α = 90.00°, β = 90.00°, γ = 90.00°
Sites, in units of the cell vectors:
H 0.0000 0.0000 0.0000
Ga 0.0000 0.0000 0.5000
Pd 0.0000 0.5000 0.0000
Pd 0.5000 0.0000 0.0000
Ag 0.5000 0.5000 0.5000

Excess energy over the best structure of this formula in the dataset in meV per atom: 101
Crystal system: tetragonal
Fermi-level density of states in states/eV per cell: 1.07
Spin magnetization in μB/atom: 0.000

(7)
A geometry-optimized CePr2Er3As6 structure. Source: Alexandria via LeMat-Bulk, functional PBE.

a = 4.1864 Å, b = 8.3571 Å, c = 9.3342 Å
α = 102.76°, β = 102.96°, γ = 90.00°
Last column: magnetic moment on the atom in μB.
Sites, in units of the cell vectors:
Ce 0.5000 0.0000 0.0000  0.53
Pr 0.8330 0.6653 0.6660  0.00
Pr 0.1670 0.3347 0.3340  0.00
Er 0.5000 0.5000 0.0000  0.00
Er 0.8323 0.1665 0.6647  0.00
Er 0.1677 0.8335 0.3353  0.00
As 0.3327 0.9257 0.6655  -0.01
As 0.6634 0.5916 0.3268  0.00
As 0.6673 0.0743 0.3345  -0.01
As 0.9967 0.2517 0.9934  -0.01
As 0.0033 0.7483 0.0066  -0.01
As 0.3366 0.4084 0.6732  0.00

DFT formation energy in eV per atom: -1.493
Crystal system: monoclinic
Fermi-level density of states in states/eV per cell: 5.96
Spin magnetization in μB/atom: 0.045

(8)
A geometry-optimized AgB2Rh2 structure. Source: Alexandria via LeMat-Bulk, functional PBE.

a = 6.4146 Å, b = 6.4146 Å, c = 2.7574 Å
α = 90.00°, β = 90.00°, γ = 90.00°
Sites, in units of the cell vectors:
B 0.3674 0.8674 0.0000
B 0.8674 0.6326 0.0000
B 0.6326 0.1326 0.0000
B 0.1326 0.3674 0.0000
Rh 0.1503 0.6503 0.5000
Rh 0.6503 0.8497 0.5000
Rh 0.8497 0.3497 0.5000
Rh 0.3497 0.1503 0.5000
Ag 0.0000 0.0000 0.0000
Ag 0.5000 0.5000 0.0000

DFT formation energy in eV per atom: 0.034
Excess energy over the best structure of this formula in the dataset in meV per atom: 145
Crystal system: tetragonal
Fermi-level density of states in states/eV per cell: 3.82
Spin magnetization in μB/atom: 0.000

(9)
A geometry-optimized LiPd3O4 structure. Source: Alexandria via LeMat-Bulk, functional PBE.

a = 5.7090 Å, b = 5.7090 Å, c = 5.7090 Å
α = 90.00°, β = 90.00°, γ = 90.00°
Sites, in units of the cell vectors:
O 0.2500 0.2500 0.2500
O 0.2500 0.7500 0.2500
O 0.2500 0.2500 0.7500
O 0.2500 0.7500 0.7500
O 0.7500 0.2500 0.2500
O 0.7500 0.2500 0.7500
O 0.7500 0.7500 0.2500
O 0.7500 0.7500 0.7500
Pd 0.0000 0.5000 0.2500
Pd 0.0000 0.5000 0.7500
Pd 0.2500 0.0000 0.5000
Pd 0.5000 0.2500 0.0000
Pd 0.5000 0.7500 0.0000
Pd 0.7500 0.0000 0.5000
Li 0.0000 0.0000 0.0000
Li 0.5000 0.5000 0.5000

Crystal system: cubic
ΔE_f (raw) in meV/atom: -734
Fermi-level density of states in states/eV per cell: 10.92
Spin magnetization in μB/atom: 0.000

(10)
A geometry-optimized TlCdIn2Pd structure. Source: Alexandria via LeMat-Bulk, functional PBE.

a = 5.2302 Å, b = 5.2302 Å, c = 5.3390 Å
α = 90.00°, β = 90.00°, γ = 90.00°
Sites, in units of the cell vectors:
Tl 0.0000 0.0000 0.5000
Cd 0.5000 0.5000 0.5000
Pd 0.0000 0.0000 0.0000
In 0.0000 0.5000 0.0000
In 0.5000 0.0000 0.0000

DFT formation energy in eV per atom: -0.025
Excess energy over the best structure of this formula in the dataset in meV per atom: 74
Crystal system: tetragonal
Fermi-level density of states in states/eV per cell: 1.44
Spin magnetization in μB/atom: 0.000

(11)
A geometry-optimized CePmPuPa structure. Source: Alexandria via LeMat-Bulk, functional PBE.

a = 5.3892 Å, b = 5.3892 Å, c = 5.3892 Å
α = 60.00°, β = 60.00°, γ = 60.00°
Last column: magnetic moment on the atom in μB.
Sites, in units of the cell vectors:
Pa 0.2500 0.2500 0.2500  1.04
Pm 0.7500 0.7500 0.7500  0.18
Ce 0.0000 0.0000 0.0000  0.56
Pu 0.5000 0.5000 0.5000  5.57

DFT formation energy in eV per atom: 0.332
Crystal system: cubic
Fermi-level density of states in states/eV per cell: 12.66
Spin magnetization in μB/atom: 2.080

(12)
A geometry-optimized Sr2BePtAu6 structure. Source: Alexandria via LeMat-Bulk, functional PBE.

a = 6.6364 Å, b = 7.2276 Å, c = 6.5416 Å
α = 56.64°, β = 66.46°, γ = 90.22°
Sites, in units of the cell vectors:
Sr 0.6994 0.2906 0.4238
Sr 0.3006 0.7094 0.5762
Be 0.0000 0.0000 0.0000
Pt 0.5000 0.5000 0.0000
Au 0.1509 0.2424 0.5164
Au 0.7587 0.8412 0.9196
Au 0.2386 0.7585 0.0798
Au 0.7614 0.2415 0.9202
Au 0.2413 0.1588 0.0804
Au 0.8491 0.7576 0.4836

DFT formation energy in eV per atom: -0.473
Crystal system: triclinic
Fermi-level density of states in states/eV per cell: 3.81
Spin magnetization in μB/atom: 0.000

(13)
A geometry-optimized ErCuTe3Pb structure. Source: Alexandria via LeMat-Bulk, functional PBE.

a = 4.2885 Å, b = 9.1280 Å, c = 9.6529 Å
α = 104.68°, β = 90.00°, γ = 90.00°
Sites, in units of the cell vectors:
Er 0.2500 0.6757 0.1667
Er 0.7500 0.3243 0.8333
Cu 0.2500 0.0737 0.5742
Cu 0.7500 0.9263 0.4258
Te 0.7500 0.9029 0.1368
Te 0.2500 0.0971 0.8632
Te 0.2500 0.7721 0.4890
Te 0.7500 0.2279 0.5110
Te 0.7500 0.4354 0.1643
Te 0.2500 0.5646 0.8357
Pb 0.2500 0.1870 0.2415
Pb 0.7500 0.8130 0.7585

Crystal system: monoclinic
ΔE_f (raw) in meV/atom: -699
Spin magnetization in μB/atom: 0.000

(14)
A geometry-optimized GaRu2PbO8 structure. Source: Alexandria via LeMat-Bulk, functional PBE.

a = 5.4305 Å, b = 5.4305 Å, c = 7.0757 Å
α = 90.00°, β = 90.00°, γ = 120.00°
Last column: magnetic moment on the atom in μB.
Sites, in units of the cell vectors:
Ga 0.0000 0.0000 0.5000  0.03
Ru 0.6667 0.3333 0.2731  0.83
Ru 0.3333 0.6667 0.7269  0.83
Pb 0.0000 0.0000 0.0000  0.03
O 0.3333 0.6667 0.9792  0.24
O 0.3046 0.2579 0.3221  0.09
O 0.7421 0.0467 0.3221  0.09
O 0.6667 0.3333 0.0208  0.24
O 0.2579 0.9533 0.6779  0.09
O 0.6954 0.7421 0.6779  0.09
O 0.0467 0.3046 0.6779  0.09
O 0.9533 0.6954 0.3221  0.09

Crystal system: trigonal
ΔE_f (raw) in meV/atom: -887
Fermi-level density of states in states/eV per cell: 5.81
Spin magnetization in μB/atom: 0.255

(15)
A geometry-optimized InSiSb structure. Source: Alexandria via LeMat-Bulk, functional PBE.

a = 5.1478 Å, b = 5.1478 Å, c = 3.1202 Å
α = 90.00°, β = 90.00°, γ = 120.00°
Sites, in units of the cell vectors:
In 0.0000 0.0000 0.9921
Sb 0.3333 0.6667 0.4979
Si 0.6667 0.3333 0.5100

Excess energy over the best structure of this formula in the dataset in meV per atom: 41
Crystal system: trigonal
ΔE_f (raw) in meV/atom: 363
Fermi-level density of states in states/eV per cell: 1.78
Spin magnetization in μB/atom: 0.000

(16)
A geometry-optimized TaFe2Hg structure. Source: Alexandria via LeMat-Bulk, functional PBE.

a = 2.7889 Å, b = 2.7889 Å, c = 8.3791 Å
α = 90.00°, β = 90.00°, γ = 104.07°
Last column: magnetic moment on the atom in μB.
Sites, in units of the cell vectors:
Fe 0.0000 0.0000 0.9880  2.25
Fe 0.0000 0.0000 0.5120  2.25
Hg 0.5000 0.5000 0.2500  -0.05
Ta 0.5000 0.5000 0.7500  -0.26

DFT formation energy in eV per atom: 0.298
Crystal system: orthorhombic
Fermi-level density of states in states/eV per cell: 3.27
Spin magnetization in μB/atom: 1.007

(17)
A geometry-optimized Ho3Al2Pd structure. Source: Alexandria via LeMat-Bulk, functional PBE.

a = 3.5685 Å, b = 3.5685 Å, c = 10.5889 Å
α = 90.00°, β = 90.00°, γ = 90.00°
Sites, in units of the cell vectors:
Ho 0.0000 0.0000 0.0000
Ho 0.0000 0.0000 0.6583
Ho 0.0000 0.0000 0.3417
Al 0.5000 0.5000 0.8305
Al 0.5000 0.5000 0.1695
Pd 0.5000 0.5000 0.5000

DFT formation energy in eV per atom: -0.568
Crystal system: tetragonal
Fermi-level density of states in states/eV per cell: 3.15
Spin magnetization in μB/atom: 0.000

(18)
A geometry-optimized MoOsRu structure. Source: Alexandria via LeMat-Bulk, functional PBE.

a = 4.8506 Å, b = 4.8506 Å, c = 4.8506 Å
α = 140.82°, β = 140.82°, γ = 56.61°
Last column: magnetic moment on the atom in μB.
Sites, in units of the cell vectors:
Mo 0.9980 0.9980 0.0000  -0.01
Os 0.3398 0.3398 0.0000  0.19
Ru 0.6622 0.6622 0.0000  0.44

DFT formation energy in eV per atom: 0.391
Excess energy over the best structure of this formula in the dataset in meV per atom: 308
Crystal system: tetragonal
Fermi-level density of states in states/eV per cell: 4.19
Spin magnetization in μB/atom: 0.210

(19)
A geometry-optimized KVSn2S structure. Source: Alexandria via LeMat-Bulk, functional PBE.

a = 5.6709 Å, b = 4.5335 Å, c = 5.6709 Å
α = 90.00°, β = 90.00°, γ = 90.00°
Last column: magnetic moment on the atom in μB.
Sites, in units of the cell vectors:
S 0.0000 0.0000 0.0000  -0.07
K 0.5000 0.5000 0.5000  0.00
Sn 0.0000 0.0000 0.5000  -0.02
Sn 0.5000 0.0000 0.0000  -0.06
V 0.0000 0.5000 0.0000  2.48

Crystal system: tetragonal
ΔE_f (raw) in meV/atom: 195
Fermi-level density of states in states/eV per cell: 3.92
Spin magnetization in μB/atom: 0.570

(20)
A geometry-optimized BeClF2 structure. Source: Alexandria via LeMat-Bulk, functional PBE.

a = 5.2116 Å, b = 5.2116 Å, c = 5.2116 Å
α = 60.00°, β = 60.00°, γ = 60.00°
Last column: magnetic moment on the atom in μB.
Sites, in units of the cell vectors:
Be 0.2500 0.2500 0.2500  0.00
Be 0.0000 0.0000 0.0000  0.00
Cl 0.7500 0.7500 0.7500  0.76
Cl 0.5000 0.5000 0.5000  0.76
F 0.1250 0.6250 0.1250  0.02
F 0.6250 0.1250 0.1250  0.02
F 0.1250 0.1250 0.1250  0.02
F 0.1250 0.1250 0.6250  0.02

Excess energy over the best structure of this formula in the dataset in meV per atom: 0
Crystal system: cubic
ΔE_f (raw) in meV/atom: -2083
Fermi-level density of states in states/eV per cell: 1.17
Spin magnetization in μB/atom: 0.250